CaThTlCd: relaxed, PBE-GGA.

```
CaThTlCd
1.0
0.000 3.866 3.866
3.866 0.000 3.866
3.866 3.866 0.000
Ca Th Tl Cd
1 1 1 1
direct
0.000 0.000 0.000
0.500 0.500 0.500
0.750 0.750 0.750
0.250 0.250 0.250
```

## Properties
Density of states at the Fermi level   3.81 states/eV/f.u.
Calculated total energy   -3.365 eV per atom
Energy relative to the elements   -189 meV per atom
Spin magnetization   0.00 μB/f.u.